Here is KTl2Pb after structural relaxation from Alexandria. Energies are from PBE-GGA.

Output
space group = Cmmm, No. 65
E_tot = -2.389 eV per atom
ΔE_f = 0.0 eV per formula unit
ρ = 8.17 g cm⁻³

abc: 7.675 8.764 3.957
angles: 90.00 90.00 90.00
Positions (direct):
K (0.000, 0.000, 0.000)
K (0.500, 0.500, 0.000)
Tl (0.250, 0.250, 0.500)
Tl (0.250, 0.750, 0.500)
Tl (0.750, 0.250, 0.500)
Tl (0.750, 0.750, 0.500)
Pb (0.000, 0.500, 0.000)
Pb (0.500, 0.000, 0.000)